No. 1
A relaxed structure of BaNaTc2O8. Source: Alexandria via LeMat-Bulk, functional PBE.

Output
Formation energy without anion corrections (meV per atom): -1796
Spin magnetization (μB per formula unit): 1.1
V (Å³/cell): 469.2
D(E_F) (states/eV/atom): 0.652

Unit cell a=9.3843 b=6.1742 c=8.1048 alpha=90.00 beta=92.37 gamma=90.00
With the nearest neighbours (Å) after each atom.
Space group C2/m (No. 12)
One atom of each set of equivalent atoms:
Ba  0.0000  0.0000  0.0000 (multiplicity 2)  6 O 2.73
Na  0.0000  0.0000  0.5000 (multiplicity 2)  6 O 2.35-2.48
Tc  0.1321  0.5000  0.2687 (multiplicity 4)  4 O 1.74-1.78
O  0.0250  0.2626  0.2713 (multiplicity 8)  1 Tc 1.78
O  0.2204  0.5000  0.0795 (multiplicity 4)  1 Tc 1.77
O  0.2465  0.0000  0.5638 (multiplicity 4)  1 Tc 1.74

=====

No. 2
A relaxed structure of BaNa2TeO4. Source: Alexandria via LeMat-Bulk, functional PBE.

Output
Formation energy without anion corrections (meV per atom): -1488
Spin magnetization (μB per formula unit): 0.0
V (Å³/cell): 533.2

Unit cell a=6.9391 b=7.1030 c=10.8182 alpha=90.00 beta=90.00 gamma=90.00
With the nearest neighbours (Å) after each atom.
Space group Imma (No. 74)
One atom of each set of equivalent atoms:
Ba  0.0000  0.0000  0.0000 (multiplicity 4)  6 O 2.61-2.69
Na  0.0000  0.0000  0.5000 (multiplicity 4)  6 O 2.48-2.73
Na  0.2500  0.2500  0.2500 (multiplicity 4)  4 O 2.60
Te  0.2500  0.2500  0.7500 (multiplicity 4)  6 O 2.14-2.37
O  0.0000  0.0230  0.7520 (multiplicity 8)  2 Te 2.37, 2 Na 2.60
O  0.2360  0.2500  0.5528 (multiplicity 8)  1 Te 2.14

=====

No. 3
A relaxed structure of Ba3NaTe2O9. Source: Alexandria via LeMat-Bulk, functional PBE.

Output
Formation energy without anion corrections (meV per atom): -1962
Spin magnetization (μB per formula unit): 0.0
V (Å³/cell): 229.9
D(E_F) (states/eV/atom): 0.144

Unit cell a=5.9989 b=5.9989 c=7.3777 alpha=90.00 beta=90.00 gamma=120.00
With the nearest neighbours (Å) after each atom.
Space group P-3m1 (No. 164)
One atom of each set of equivalent atoms:
Ba  0.0000  0.0000  0.0000 (multiplicity 1)  12 O 2.96-3.00
Ba  0.3333  0.6667  0.6597 (multiplicity 2)  12 O 3.01-3.05
Na  0.0000  0.0000  0.5000 (multiplicity 1)  6 O 2.31
Te  0.3333  0.6667  0.1715 (multiplicity 2)  6 O 1.92-2.14
O  0.0000  0.5000  0.0000 (multiplicity 3)  2 Te 2.14
O  0.1784  0.3568  0.3128 (multiplicity 6)  1 Te 1.92

=====

No. 4
A relaxed structure of Ba3Na2TeO6. Source: Alexandria via LeMat-Bulk, functional PBE.

Output
Formation energy without anion corrections (meV per atom): -1810
Spin magnetization (μB per formula unit): 0.4
V (Å³/cell): 234.9
D(E_F) (states/eV/atom): 0.197

Unit cell a=6.0953 b=6.0953 c=7.2996 alpha=90.00 beta=90.00 gamma=120.00
With the nearest neighbours (Å) after each atom.
Space group P-3m1 (No. 164)
One atom of each set of equivalent atoms:
Ba  0.0000  0.0000  0.0000 (multiplicity 1)  6 O 2.96
Ba  0.3333  0.6667  0.6236 (multiplicity 2)  9 O 2.81-3.06
Na  0.3333  0.6667  0.1735 (multiplicity 2)  3 O 2.27
Te  0.0000  0.0000  0.5000 (multiplicity 1)  6 O 1.98
O  0.1518  0.3036  0.3412 (multiplicity 6)  1 Te 1.98

=====

No. 5
A relaxed structure of BaNaTeO2. Source: Alexandria via LeMat-Bulk, functional PBE.

Output
Formation energy without anion corrections (meV per atom): -465
Spin magnetization (μB per formula unit): 3.0
V (Å³/cell): 203.3
D(E_F) (states/eV/atom): 0.685

Unit cell a=4.8140 b=4.8140 c=8.7719 alpha=90.00 beta=90.00 gamma=90.00
With the nearest neighbours (Å) after each atom.
Space group P4/mmm (No. 123)
One atom of each set of equivalent atoms:
Ba  0.0000  0.0000  0.0000 (multiplicity 1)  4 O 2.41
Na  0.0000  0.0000  0.5000 (multiplicity 1)  4 Te 3.40
Te  0.5000  0.5000  0.5000 (multiplicity 1)  4 Na 3.40
O  0.0000  0.5000  0.0000 (multiplicity 2)  2 Ba 2.41

=====

No. 6
A relaxed structure of BaNa2ThO4. Source: Alexandria via LeMat-Bulk, functional PBE.

Output
Formation energy without anion corrections (meV per atom): -2511
Spin magnetization (μB per formula unit): 0.0
V (Å³/cell): 141.5
D(E_F) (states/eV/atom): 0.000

Unit cell a=6.2429 b=3.6883 c=6.7786 alpha=90.00 beta=114.99 gamma=90.00
With the nearest neighbours (Å) after each atom.
Space group P2/m (No. 10)
One atom of each set of equivalent atoms:
Ba  0.0000  0.0000  0.0000 (multiplicity 1)  6 O 2.65-2.75
Na  0.5000  0.0000  0.5000 (multiplicity 1)  6 O 2.53-2.75
Na  0.5000  0.5000  0.0000 (multiplicity 1)  4 O 2.67
Th  0.0000  0.5000  0.5000 (multiplicity 1)  6 O 2.26-2.42
O  0.2120  0.5000  0.3005 (multiplicity 2)  1 Th 2.26
O  0.2229  0.0000  0.7258 (multiplicity 2)  2 Th 2.42, 2 Na 2.67

=====

No. 7
A relaxed structure of BaNaTiO4. Source: Alexandria via LeMat-Bulk, functional PBE.

Output
Formation energy without anion corrections (meV per atom): -2379
Spin magnetization (μB per formula unit): 1.0
V (Å³/cell): 419.5
D(E_F) (states/eV/atom): 0.471

Unit cell a=5.5846 b=13.2437 c=5.6717 alpha=90.00 beta=90.00 gamma=90.00
With the nearest neighbours (Å) after each atom.
Space group Cmcm (No. 63)
One atom of each set of equivalent atoms:
Ba  0.0000  0.1006  0.2500 (multiplicity 4)  9 O 2.67-2.84
Na  0.0000  0.3824  0.2500 (multiplicity 4)  9 O 2.65-2.94
Ti  0.0000  0.2444  0.7500 (multiplicity 4)  6 O 1.90-2.01
O  0.0000  0.1013  0.7500 (multiplicity 4)  1 Ti 1.90
O  0.0000  0.3959  0.7500 (multiplicity 4)  1 Ti 2.01
O  0.2500  0.2500  0.0000 (multiplicity 8)  2 Ti 1.99

=====

No. 8
A relaxed structure of Ba2NaTi2O7. Source: Alexandria via LeMat-Bulk, functional PBE.

Output
Formation energy without anion corrections (meV per atom): -2639
Spin magnetization (μB per formula unit): 1.0
V (Å³/cell): 339.7
D(E_F) (states/eV/atom): 0.517

Unit cell a=3.9887 b=3.9887 c=21.3484 alpha=90.00 beta=90.00 gamma=90.00
With the nearest neighbours (Å) after each atom.
Space group I4/mmm (No. 139)
One atom of each set of equivalent atoms:
Ba  0.0000  0.0000  0.1817 (multiplicity 4)  9 O 2.77-2.85
Na  0.0000  0.0000  0.0000 (multiplicity 2)  12 O 2.79-2.82
Ti  0.0000  0.0000  0.4098 (multiplicity 4)  6 O 1.92-2.02
O  0.0000  0.0000  0.3151 (multiplicity 4)  1 Ti 2.02
O  0.0000  0.0000  0.5000 (multiplicity 2)  2 Ti 1.92
O  0.0000  0.5000  0.0914 (multiplicity 8)  2 Ti 1.99